A plane-wave DFT calculation with PBE+U was carried out for a relaxed FeBrO2 crystal.

Properties
offset from the most stable computed form: 1295 meV per atom
N(E_F): 4.406 states/eV per cell

Cell: 10.051 10.051 10.051 Å, 17.26 17.26 17.26°
Sites, in units of the cell vectors:
Fe (0.000, 0.000, 0.000)
Br (0.500, 0.500, 0.500)
O (0.058, 0.058, 0.058)
O (0.942, 0.942, 0.942)